(1)
Computed, not measured: a geometry-optimized CaCoF5 structure at the PBE with a Hubbard U level of DFT.

POSCAR file:
```
CaCoF5
1.0
4.527 -3.272 0.000
4.527 3.272 0.000
-3.256 0.000 6.943
Ca Co F
2 2 10
direct
0.045 0.955 0.750
0.955 0.045 0.250
0.500 0.500 0.000
0.500 0.500 0.500
0.192 0.788 0.031
0.212 0.808 0.469
0.259 0.293 0.385
0.293 0.259 0.885
0.413 0.587 0.750
0.587 0.413 0.250
0.707 0.741 0.115
0.741 0.707 0.615
0.788 0.192 0.531
0.808 0.212 0.969
```

Values from the calculation:
- total magnetic moment (μB per formula unit) = 4.0
- theoretical density (g/cm3) = 3.1
- uncorrected energy (eV per atom) = -5.174
- N(E_F) (states/eV per atom) = 0.000

***

(2)
Computed, not measured: a geometry-optimized CaCoF structure at the PBE with a Hubbard U level of DFT.

POSCAR file:
```
CaCoF
1.0
3.328 0.000 0.000
0.000 3.328 0.000
-0.028 -0.045 8.416
Ca Co F
2 2 2
direct
0.248 0.247 0.303
0.752 0.753 0.697
0.250 0.750 0.000
0.750 0.250 0.000
0.251 0.252 0.597
0.749 0.748 0.403
```

Values from the calculation:
- total magnetic moment (μB per formula unit) = 1.8
- theoretical density (g/cm3) = 4.2
- uncorrected energy (eV per atom) = -4.582
- N(E_F) (states/eV per atom) = 0.285

***

(3)
Computed, not measured: a geometry-optimized Ca2Co2F structure at the PBE with a Hubbard U level of DFT.

POSCAR file:
```
Ca2Co2F
1.0
7.704 0.000 0.000
0.000 7.704 0.000
0.000 0.000 3.871
Ca Co F
4 4 2
direct
0.183 0.317 0.000
0.317 0.817 0.000
0.683 0.183 0.000
0.817 0.683 0.000
0.113 0.613 0.500
0.387 0.113 0.500
0.613 0.887 0.500
0.887 0.387 0.500
0.000 0.000 0.500
0.500 0.500 0.500
```

Values from the calculation:
- total magnetic moment (μB per formula unit) = 3.4
- theoretical density (g/cm3) = 3.1
- uncorrected energy (eV per atom) = -3.360
- N(E_F) (states/eV per atom) = 0.569

***

(4)
Computed, not measured: a geometry-optimized CaCoF structure at the PBE with a Hubbard U level of DFT.

POSCAR file:
```
CaCoF
1.0
3.824 0.000 0.000
-1.912 3.311 0.000
0.000 0.000 9.699
Ca Co F
2 2 2
direct
0.333 0.667 0.250
0.667 0.333 0.750
0.000 0.000 0.000
0.000 0.000 0.500
0.000 0.000 0.250
0.000 0.000 0.750
```

Values from the calculation:
- total magnetic moment (μB per formula unit) = 2.0
- theoretical density (g/cm3) = 3.2
- uncorrected energy (eV per atom) = -3.994
- N(E_F) (states/eV per atom) = 0.112

***

(5)
Computed, not measured: a geometry-optimized Ca3Co5F12 structure at the PBE with a Hubbard U level of DFT.

POSCAR file:
```
Ca3Co5F12
1.0
-6.530 6.530 6.530
6.530 -6.530 6.530
6.530 6.530 -6.530
Ca Co F
12 20 48
direct
0.125 0.250 0.375
0.125 0.375 0.750
0.250 0.375 0.125
0.250 0.875 0.625
0.375 0.125 0.250
0.375 0.750 0.125
0.625 0.250 0.875
0.625 0.875 0.750
0.750 0.125 0.375
0.750 0.625 0.875
0.875 0.625 0.250
0.875 0.750 0.625
0.000 0.000 0.000
0.000 0.000 0.500
0.000 0.500 0.000
0.000 0.500 0.500
0.125 0.750 0.875
0.125 0.875 0.250
0.250 0.125 0.875
0.250 0.625 0.375
0.375 0.250 0.625
0.375 0.625 0.750
0.500 0.000 0.000
0.500 0.000 0.500
0.500 0.500 0.000
0.500 0.500 0.500
0.625 0.375 0.250
0.625 0.750 0.375
0.750 0.375 0.625
0.750 0.875 0.125
0.875 0.125 0.750
0.875 0.250 0.125
0.047 0.221 0.139
0.047 0.326 0.908
0.082 0.721 0.674
0.082 0.861 0.408
0.092 0.639 0.418
0.092 0.953 0.674
0.139 0.047 0.221
0.139 0.592 0.918
0.174 0.221 0.582
0.174 0.453 0.592
0.221 0.139 0.047
0.221 0.582 0.174
0.279 0.326 0.918
0.279 0.453 0.361
0.326 0.908 0.047
0.326 0.918 0.279
0.361 0.279 0.453
0.361 0.582 0.908
0.408 0.082 0.861
0.408 0.826 0.547
0.418 0.092 0.639
0.418 0.826 0.779
0.453 0.361 0.279
0.453 0.592 0.174
0.547 0.408 0.826
0.547 0.639 0.721
0.582 0.174 0.221
0.582 0.908 0.361
0.592 0.174 0.453
0.592 0.918 0.139
0.639 0.418 0.092
0.639 0.721 0.547
0.674 0.082 0.721
0.674 0.092 0.953
0.721 0.547 0.639
0.721 0.674 0.082
0.779 0.418 0.826
0.779 0.861 0.953
0.826 0.547 0.408
0.826 0.779 0.418
0.861 0.408 0.082
0.861 0.953 0.779
0.908 0.047 0.326
0.908 0.361 0.582
0.918 0.139 0.592
0.918 0.279 0.326
0.953 0.674 0.092
0.953 0.779 0.861
```

Values from the calculation:
- total magnetic moment (μB per formula unit) = 11.2
- theoretical density (g/cm3) = 3.8
- uncorrected energy (eV per atom) = -5.032
- N(E_F) (states/eV per atom) = 0.434

***

(6)
Computed, not measured: a geometry-optimized Ca2Co2F structure at the PBE with a Hubbard U level of DFT.

POSCAR file:
```
Ca2Co2F
1.0
-1.686 1.686 8.214
1.686 -1.686 8.214
1.686 1.686 -8.214
Ca Co F
2 2 1
direct
0.107 0.107 0.000
0.893 0.893 0.000
0.250 0.750 0.500
0.750 0.250 0.500
0.500 0.500 0.000
```

Values from the calculation:
- total magnetic moment (μB per formula unit) = 3.5
- theoretical density (g/cm3) = 3.9
- uncorrected energy (eV per atom) = -3.739
- N(E_F) (states/eV per atom) = 0.406

***

(7)
Computed, not measured: a geometry-optimized CaCoF structure at the PBE with a Hubbard U level of DFT.

POSCAR file:
```
CaCoF
1.0
3.833 0.000 0.000
0.000 3.833 0.000
0.000 0.000 7.158
Ca Co F
2 2 2
direct
0.250 0.250 0.178
0.750 0.750 0.822
0.250 0.750 0.500
0.750 0.250 0.500
0.250 0.750 0.000
0.750 0.250 0.000
```

Values from the calculation:
- total magnetic moment (μB per formula unit) = 2.0
- theoretical density (g/cm3) = 3.7
- uncorrected energy (eV per atom) = -4.531
- N(E_F) (states/eV per atom) = 0.209

***

(8)
Computed, not measured: a geometry-optimized CaCoF structure at the PBE with a Hubbard U level of DFT.

POSCAR file:
```
CaCoF
1.0
4.251 0.000 0.000
0.000 1.848 6.998
0.000 -1.848 6.998
Ca Co F
2 2 2
direct
0.000 0.000 0.000
0.500 0.312 0.312
0.000 0.684 0.684
0.500 0.621 0.621
0.000 0.396 0.396
0.500 0.913 0.913
```

Values from the calculation:
- total magnetic moment (μB per formula unit) = 1.9
- theoretical density (g/cm3) = 3.6
- uncorrected energy (eV per atom) = -4.517
- N(E_F) (states/eV per atom) = 0.262

***

(9)
Computed, not measured: a geometry-optimized Ca3CoF8 structure at the PBE with a Hubbard U level of DFT.

POSCAR file:
```
Ca3CoF8
1.0
3.009 -5.321 0.000
3.009 5.321 0.000
0.000 0.000 6.636
Ca Co F
3 1 8
direct
0.000 0.000 0.000
0.000 0.500 0.743
0.500 0.000 0.257
0.000 0.000 0.500
0.192 0.259 0.733
0.196 0.804 0.500
0.214 0.786 0.000
0.259 0.192 0.267
0.741 0.808 0.267
0.786 0.214 0.000
0.804 0.196 0.500
0.808 0.741 0.733
```

Values from the calculation:
- total magnetic moment (μB per formula unit) = 3.0
- theoretical density (g/cm3) = 2.6
- uncorrected energy (eV per atom) = -5.565
- N(E_F) (states/eV per atom) = 0.000

***

(10)
Computed, not measured: a geometry-optimized Ca3CoF structure at the PBE with a Hubbard U level of DFT.

POSCAR file:
```
Ca3CoF
1.0
4.953 0.000 0.000
0.000 4.953 0.000
0.000 0.000 4.953
Ca Co F
3 1 1
direct
0.000 0.000 0.500
0.000 0.500 0.000
0.500 0.000 0.000
0.500 0.500 0.500
0.000 0.000 0.000
```

Values from the calculation:
- total magnetic moment (μB per formula unit) = 1.6
- theoretical density (g/cm3) = 2.7
- uncorrected energy (eV per atom) = -3.401
- N(E_F) (states/eV per atom) = 0.919

***

(11)
Computed, not measured: a geometry-optimized Ca2CoF structure at the PBE with a Hubbard U level of DFT.

POSCAR file:
```
Ca2CoF
1.0
-3.443 3.443 4.062
3.443 -3.443 4.062
3.443 3.443 -4.062
Ca Co F
4 2 2
direct
0.050 0.625 0.925
0.375 0.300 0.425
0.700 0.125 0.075
0.875 0.950 0.575
0.250 0.750 0.500
0.500 0.500 0.000
0.000 0.000 0.000
0.750 0.250 0.500
```

Values from the calculation:
- total magnetic moment (μB per formula unit) = 1.9
- theoretical density (g/cm3) = 2.7
- uncorrected energy (eV per atom) = -3.782
- N(E_F) (states/eV per atom) = 0.358

***

(12)
Computed, not measured: a geometry-optimized CaCoF structure at the PBE with a Hubbard U level of DFT.

POSCAR file:
```
CaCoF
1.0
3.320 -1.920 0.000
3.320 1.920 0.000
-2.217 0.000 8.276
Ca Co F
2 2 2
direct
0.000 0.000 0.000
0.192 0.192 0.573
0.423 0.423 0.269
0.763 0.763 0.288
0.293 0.293 0.876
0.556 0.556 0.663
```

Values from the calculation:
- total magnetic moment (μB per formula unit) = 1.7
- theoretical density (g/cm3) = 3.7
- uncorrected energy (eV per atom) = -4.513
- N(E_F) (states/eV per atom) = 0.298